Here is a relaxed structure of TiAl6V4 from Alexandria via LeMat-Bulk. Energies are from PBE-GGA.

a = 6.5686 Å, b = 6.5686 Å, c = 9.2663 Å
α = 90.00°, β = 90.00°, γ = 90.00°
Space group I-42m (No. 121)
Inequivalent atoms, fractional coordinates:
Ti  0.0000  0.0000  0.0000 [2 per cell]
Al  0.0000  0.5000  0.0000 [4 per cell]
Al  0.1869  0.1869  0.7210 [8 per cell]
V  0.1493  0.1493  0.4385 [8 per cell]

Calculated values
Total magnetization in μB/cell: 1.3
E_form in meV/atom: 249